# 1
First-principles (GGA-PBEsol) data for crystalline TlTe2RhN at its relaxed geometry, as listed in Alexandria.

CIF file:
```
data_TlTe2RhN
_space_group_name_H-M_alt 'P 4/m m m'
_space_group_IT_number 123
_space_group_name_Hall '-P 4 2'
_cell_length_a 5.646
_cell_length_b 5.646
_cell_length_c 3.939
_cell_angle_alpha 90.00
_cell_angle_beta 90.00
_cell_angle_gamma 90.00
loop_
_atom_site_label
_atom_site_type_symbol
_atom_site_fract_x
_atom_site_fract_y
_atom_site_fract_z
_atom_site_occupancy
Tl1 Tl 0.000 0.000 0.000 1
Te1 Te 0.000 0.500 0.000 1
Rh1 Rh 0.500 0.500 0.500 1
N1 N 0.000 0.000 0.500 1
```

Computed properties:
The formation energy (no corrections) is 1.675 eV/atom. Its total energy is -3.594 eV/atom.

# 2
First-principles (GGA-PBEsol) data for crystalline CaYAl at its relaxed geometry, as listed in Alexandria.

CIF file:
```
data_CaYAl
_space_group_name_H-M_alt 'P 3 m 1'
_space_group_IT_number 156
_cell_length_a 3.5638
_cell_length_b 3.5638
_cell_length_c 7.8613
_cell_angle_alpha 90.00
_cell_angle_beta 90.00
_cell_angle_gamma 120.00
loop_
_space_group_symop_operation_xyz
'x,y,z'
'-y,x-y,z'
'-x+y,-x,z'
'-y,-x,z'
'-x+y,y,z'
'x,x-y,z'
loop_
_atom_site_label
_atom_site_type_symbol
_atom_site_fract_x
_atom_site_fract_y
_atom_site_fract_z
_atom_site_occupancy
Ca1 Ca 0.0000 0.0000 0.0000 1
Y1 Y 0.3333 0.6667 0.5899 1
Al1 Al 0.6667 0.3333 0.3036 1
```

Computed properties:
For the formation energy, the calculation gives 3.8 meV/atom. Its total energy is -4.345 eV/atom.

# 3
First-principles (GGA-PBEsol) data for crystalline SrTa2NiP at its relaxed geometry, as listed in Alexandria.

CIF file:
```
data_SrTa2NiP
_space_group_name_H-M_alt 'P 4/m m m'
_space_group_IT_number 123
_space_group_name_Hall '-P 4 2'
_cell_length_a 4.738
_cell_length_b 4.738
_cell_length_c 4.313
_cell_angle_alpha 90.00
_cell_angle_beta 90.00
_cell_angle_gamma 90.00
loop_
_atom_site_label
_atom_site_type_symbol
_atom_site_fract_x
_atom_site_fract_y
_atom_site_fract_z
_atom_site_occupancy
Sr1 Sr 0.000 0.000 0.000 1
Ta1 Ta 0.000 0.500 0.500 1
Ni1 Ni 0.500 0.500 0.000 1
P1 P 0.500 0.500 0.500 1
```

Computed properties:
For the formation energy, the calculation gives 408.4 meV/atom. Its total energy is -7.370 eV/atom.

# 4
First-principles (GGA-PBEsol) data for crystalline TaAsCl at its relaxed geometry, as listed in Alexandria.

CIF file:
```
data_TaAsCl
_space_group_name_H-M_alt 'I 4 m m'
_space_group_IT_number 107
_space_group_name_Hall 'I 4 -2'
_cell_length_a 2.997
_cell_length_b 2.997
_cell_length_c 13.041
_cell_angle_alpha 90.00
_cell_angle_beta 90.00
_cell_angle_gamma 90.00
loop_
_atom_site_label
_atom_site_type_symbol
_atom_site_fract_x
_atom_site_fract_y
_atom_site_fract_z
_atom_site_occupancy
Ta1 Ta 0.000 0.000 0.000 1
As1 As 0.000 0.000 0.636 1
Cl1 Cl 0.000 0.000 0.380 1
```

Computed properties:
The formation energy (no corrections) is -0.324 eV/atom. Its total energy is -6.879 eV/atom.

# 5
First-principles (GGA-PBEsol) data for crystalline MgCl2 at its relaxed geometry, as listed in Alexandria.

CIF file:
```
data_MgCl2
_space_group_name_H-M_alt 'P n n m'
_space_group_IT_number 58
_cell_length_a 5.775
_cell_length_b 6.015
_cell_length_c 3.694
_cell_angle_alpha 90.00
_cell_angle_beta 90.00
_cell_angle_gamma 90.00
loop_
_space_group_symop_operation_xyz
'x,y,z'
'-x,-y,-z'
'-x,-y,z'
'x,y,-z'
'x+1/2,-y+1/2,-z+1/2'
'-x+1/2,y+1/2,z+1/2'
'-x+1/2,y+1/2,-z+1/2'
'x+1/2,-y+1/2,z+1/2'
loop_
_atom_site_label
_atom_site_type_symbol
_atom_site_fract_x
_atom_site_fract_y
_atom_site_fract_z
_atom_site_occupancy
Mg1 Mg 0.000 0.000 0.000 1
Cl1 Cl 0.224 0.171 0.500 1
```

Computed properties:
The formation energy (no corrections) is -1.829 eV/atom. Its total energy is -3.740 eV/atom.

# 6
First-principles (GGA-PBEsol) data for crystalline SbSeN2F at its relaxed geometry, as listed in Alexandria.

CIF file:
```
data_SbSeN2F
_space_group_name_H-M_alt 'P 4/m m m'
_space_group_IT_number 123
_space_group_name_Hall '-P 4 2'
_cell_length_a 4.166
_cell_length_b 4.166
_cell_length_c 3.965
_cell_angle_alpha 90.00
_cell_angle_beta 90.00
_cell_angle_gamma 90.00
loop_
_atom_site_label
_atom_site_type_symbol
_atom_site_fract_x
_atom_site_fract_y
_atom_site_fract_z
_atom_site_occupancy
Sb1 Sb 0.000 0.000 0.000 1
Se1 Se 0.500 0.500 0.000 1
N1 N 0.000 0.500 0.500 1
F1 F 0.500 0.500 0.500 1
```

Computed properties:
The formation energy (no corrections) is 1.684 eV/atom. Its total energy is -3.793 eV/atom.

# 7
First-principles (GGA-PBEsol) data for crystalline Os2PdI at its relaxed geometry, as listed in Alexandria.

CIF file:
```
data_Os2PdI
_space_group_name_H-M_alt 'F m -3 m'
_space_group_IT_number 225
_space_group_name_Hall '-F 4 2 3'
_cell_length_a 6.322
_cell_length_b 6.322
_cell_length_c 6.322
_cell_angle_alpha 90.00
_cell_angle_beta 90.00
_cell_angle_gamma 90.00
loop_
_atom_site_label
_atom_site_type_symbol
_atom_site_fract_x
_atom_site_fract_y
_atom_site_fract_z
_atom_site_occupancy
Os1 Os 0.250 0.250 0.250 1
Pd1 Pd 0.000 0.000 0.000 1
I1 I 0.000 0.000 0.500 1
```

Computed properties:
The formation energy (no corrections) is 1.188 eV/atom. Its total energy is -6.851 eV/atom.

# 8
First-principles (GGA-PBEsol) data for crystalline K2AsPb at its relaxed geometry, as listed in Alexandria.

CIF file:
```
data_K2AsPb
_space_group_name_H-M_alt 'I m m 2'
_space_group_IT_number 44
_cell_length_a 4.157
_cell_length_b 5.636
_cell_length_c 11.160
_cell_angle_alpha 90.00
_cell_angle_beta 90.00
_cell_angle_gamma 90.00
loop_
_space_group_symop_operation_xyz
'x,y,z'
'-x,-y,z'
'-x,y,z'
'x,-y,z'
'x+1/2,y+1/2,z+1/2'
'-x+1/2,-y+1/2,z+1/2'
'-x+1/2,y+1/2,z+1/2'
'x+1/2,-y+1/2,z+1/2'
loop_
_atom_site_label
_atom_site_type_symbol
_atom_site_fract_x
_atom_site_fract_y
_atom_site_fract_z
_atom_site_occupancy
K1 K 0.000 0.000 0.000 1
K2 K 0.000 0.500 0.198 1
As1 As 0.000 0.000 0.449 1
Pb1 Pb 0.000 0.500 0.787 1
```

Computed properties:
For the formation energy, the calculation gives -271.4 meV/atom. Its total energy is -3.114 eV/atom.

# 9
First-principles (GGA-PBEsol) data for crystalline Sc2InCl at its relaxed geometry, as listed in Alexandria.

CIF file:
```
data_Sc2InCl
_space_group_name_H-M_alt 'P 4 m m'
_space_group_IT_number 99
_cell_length_a 3.222
_cell_length_b 3.222
_cell_length_c 8.991
_cell_angle_alpha 90.00
_cell_angle_beta 90.00
_cell_angle_gamma 90.00
loop_
_space_group_symop_operation_xyz
'x,y,z'
'-y,x,z'
'-x,-y,z'
'y,-x,z'
'-x,y,z'
'y,x,z'
'x,-y,z'
'-y,-x,z'
loop_
_atom_site_label
_atom_site_type_symbol
_atom_site_fract_x
_atom_site_fract_y
_atom_site_fract_z
_atom_site_occupancy
Sc1 Sc 0.000 0.000 0.000 1
Sc2 Sc 0.500 0.500 0.255 1
In1 In 0.500 0.500 0.779 1
Cl1 Cl 0.000 0.000 0.413 1
```

Computed properties:
The formation energy (no corrections) is -0.664 eV/atom. Its total energy is -5.214 eV/atom.

# 10
First-principles (GGA-PBEsol) data for crystalline SrPbSe2 at its relaxed geometry, as listed in Alexandria.

CIF file:
```
data_SrPbSe2
_space_group_name_H-M_alt 'P 4/m m m'
_space_group_IT_number 123
_space_group_name_Hall '-P 4 2'
_cell_length_a 4.346
_cell_length_b 4.346
_cell_length_c 6.150
_cell_angle_alpha 90.00
_cell_angle_beta 90.00
_cell_angle_gamma 90.00
loop_
_atom_site_label
_atom_site_type_symbol
_atom_site_fract_x
_atom_site_fract_y
_atom_site_fract_z
_atom_site_occupancy
Sr1 Sr 0.000 0.000 0.000 1
Pb1 Pb 0.500 0.500 0.500 1
Se1 Se 0.000 0.000 0.500 1
Se2 Se 0.500 0.500 0.000 1
```

Computed properties:
The formation energy (no corrections) is -1.309 eV/atom. Its total energy is -4.694 eV/atom.

# 11
First-principles (GGA-PBEsol) data for crystalline Y3RuSe at its relaxed geometry, as listed in Alexandria.

CIF file:
```
data_Y3RuSe
_space_group_name_H-M_alt 'P m -3 m'
_space_group_IT_number 221
_space_group_name_Hall '-P 4 2 3'
_cell_length_a 5.156
_cell_length_b 5.156
_cell_length_c 5.156
_cell_angle_alpha 90.00
_cell_angle_beta 90.00
_cell_angle_gamma 90.00
loop_
_atom_site_label
_atom_site_type_symbol
_atom_site_fract_x
_atom_site_fract_y
_atom_site_fract_z
_atom_site_occupancy
Y1 Y 0.000 0.000 0.500 1
Ru1 Ru 0.500 0.500 0.500 1
Se1 Se 0.000 0.000 0.000 1
```

Computed properties:
The formation energy (no corrections) is 0.085 eV/atom. Its total energy is -6.813 eV/atom.

# 12
First-principles (GGA-PBEsol) data for crystalline Si2PtW at its relaxed geometry, as listed in Alexandria.

CIF file:
```
data_Si2PtW
_space_group_name_H-M_alt 'R -3 m'
_space_group_IT_number 166
_space_group_name_Hall '-R 3 2"'
_cell_length_a 2.8450
_cell_length_b 2.8450
_cell_length_c 24.1981
_cell_angle_alpha 90.00
_cell_angle_beta 90.00
_cell_angle_gamma 120.00
loop_
_atom_site_label
_atom_site_type_symbol
_atom_site_fract_x
_atom_site_fract_y
_atom_site_fract_z
_atom_site_occupancy
Si1 Si 0.0000 0.0000 0.2491 1
Pt1 Pt 0.0000 0.0000 0.5000 1
W1 W 0.0000 0.0000 0.0000 1
```

Computed properties:
The formation energy (no corrections) is -0.176 eV/atom. Its total energy is -8.242 eV/atom.